Record 1
! TbEr10Sc4, optimized geometry, DFT GGA-PBE; values from VASP
&SYSTEM
  ibrav = 0, nat = 15, ntyp = 3
/
ATOMIC_SPECIES
Er 167.26 Er.upf
Sc 44.96 Sc.upf
Tb 158.93 Tb.upf
ATOMIC_POSITIONS angstrom
Er 0.128 -7.147 3.133
Er 2.422 -11.612 7.193
Er 2.645 -12.594 0.752
Er 3.437 -6.033 6.377
Er 3.442 -7.113 3.243
Er 6.541 -8.257 3.525
Er -0.458 -10.370 3.604
Er 5.954 -11.480 3.996
Er 2.641 -11.514 3.886
Er 3.661 -7.015 -0.064
Sc 1.543 -4.721 1.370
Sc 4.524 -9.916 1.292
Sc 4.540 -13.906 5.759
Sc 1.558 -8.711 5.837
Tb 0.000 0.000 0.000
CELL_PARAMETERS angstrom
-1.602 -8.802 1.287
5.987 -5.977 -1.691
1.697 -3.848 7.533
! Formation energy from the elements   0.5795 eV/atom
! Total DFT energy (no corrections)   -4.459 eV per atom

***

Record 2
! Tb2Er7Sc2, optimized geometry, DFT GGA-PBE; values from VASP
&SYSTEM
  ibrav = 0, nat = 11, ntyp = 3
/
ATOMIC_SPECIES
Sc 44.96 Sc.upf
Er 167.26 Er.upf
Tb 158.93 Tb.upf
ATOMIC_POSITIONS angstrom
Sc 6.295 5.153 5.056
Sc 8.717 5.558 3.208
Er 5.000 3.731 2.547
Er 6.228 1.883 5.108
Er 8.374 3.731 6.967
Er 10.012 6.980 5.717
Er 6.638 6.980 1.297
Er 2.750 5.355 -2.099
Er 8.784 8.828 3.157
Tb 6.437 0.000 8.432
Tb 8.575 10.711 -0.168
CELL_PARAMETERS angstrom
8.572 4.212 3.319
5.499 10.711 -4.198
0.941 -4.212 9.143
! Formation energy from the elements   0.3693 eV/atom
! Total DFT energy (no corrections)   -4.527 eV per atom
! Offset from the most stable computed form   204 meV per atom

***

Record 3
! Tb4ErSc5, optimized geometry, DFT GGA-PBE; values from VASP
&SYSTEM
  ibrav = 0, nat = 10, ntyp = 3
/
ATOMIC_SPECIES
Tb 158.93 Tb.upf
Sc 44.96 Sc.upf
Er 167.26 Er.upf
ATOMIC_POSITIONS angstrom
Tb -6.255 -1.871 -3.937
Tb -9.673 -0.318 -4.576
Tb -7.353 0.890 -1.808
Tb -3.934 -0.663 -1.169
Sc -4.746 1.735 0.729
Sc -3.588 -0.353 -4.709
Sc -8.756 -2.803 -6.308
Sc -9.914 -0.715 -0.870
Sc -1.911 1.556 -3.004
Er -0.585 0.476 -0.920
CELL_PARAMETERS angstrom
-2.752 2.241 -4.325
-4.008 -5.368 -3.850
-7.068 2.325 2.083
! Formation energy from the elements   0.2373 eV/atom
! Total DFT energy (no corrections)   -5.237 eV per atom
! Offset from the most stable computed form   0 meV per atom

***

Record 4
! Tb5Er6Sc2, optimized geometry, DFT GGA-PBE; values from VASP
&SYSTEM
  ibrav = 0, nat = 26, ntyp = 3
/
ATOMIC_SPECIES
Tb 158.93 Tb.upf
Er 167.26 Er.upf
Sc 44.96 Sc.upf
ATOMIC_POSITIONS angstrom
Tb -13.029 5.662 11.974
Tb -8.121 3.952 12.077
Tb 2.995 -1.814 4.702
Tb -7.567 2.340 6.388
Tb 0.125 0.344 9.295
Tb -3.353 1.555 9.221
Tb -2.623 0.070 4.294
Tb -5.374 4.227 17.078
Tb -4.643 2.741 12.151
Tb 5.032 -1.365 9.398
Er -2.674 4.569 14.549
Er -4.175 2.974 6.015
Er -1.084 3.249 11.508
Er 0.255 -0.557 5.860
Er 1.159 0.761 12.439
Er -5.765 4.293 9.055
Er -9.971 6.872 13.440
Er -9.156 3.535 8.933
Er -7.643 7.188 18.014
Er 3.122 0.670 7.123
Er 0.794 0.354 2.549
Er -8.251 4.854 15.511
Sc 3.333 1.355 10.174
Sc -10.182 6.187 10.389
Sc -5.601 5.422 13.821
Sc -1.248 2.121 6.743
CELL_PARAMETERS angstrom
-1.148 -3.246 0.808
7.138 -0.383 8.597
-13.987 7.925 11.967
! Formation energy from the elements   0.0518 eV/atom
! Total DFT energy (no corrections)   -4.809 eV per atom

***

Record 5
! Tb2Er4Sc5, optimized geometry, DFT GGA-PBE; values from VASP
&SYSTEM
  ibrav = 0, nat = 11, ntyp = 3
/
ATOMIC_SPECIES
Sc 44.96 Sc.upf
Tb 158.93 Tb.upf
Er 167.26 Er.upf
ATOMIC_POSITIONS angstrom
Sc 0.000 5.467 3.078
Sc 1.676 2.752 7.986
Sc 1.676 -2.196 7.800
Sc 0.000 0.519 2.891
Sc 1.676 0.000 0.000
Tb 1.676 3.033 1.331
Tb 0.000 0.238 9.546
Er 0.000 5.645 -0.311
Er 1.676 -2.374 11.189
Er 1.676 2.902 4.597
Er 0.000 0.369 6.281
CELL_PARAMETERS angstrom
3.351 0.000 0.000
0.000 8.084 -1.930
-1.676 -4.814 12.807
! Formation energy from the elements   0.1423 eV/atom
! Total DFT energy (no corrections)   -5.237 eV per atom
! Offset from the most stable computed form   14 meV per atom

***

Record 6
! Tb4Er5Sc2, optimized geometry, DFT GGA-PBE; values from VASP
&SYSTEM
  ibrav = 0, nat = 11, ntyp = 3
/
ATOMIC_SPECIES
Tb 158.93 Tb.upf
Sc 44.96 Sc.upf
Er 167.26 Er.upf
ATOMIC_POSITIONS angstrom
Tb 0.000 0.000 8.941
Tb 0.000 6.288 0.000
Tb 0.000 2.742 0.000
Tb 1.717 4.515 2.200
Sc 0.000 0.000 6.021
Sc 1.717 4.515 5.120
Er 0.000 7.197 3.386
Er 1.717 2.682 7.755
Er 0.000 1.833 3.386
Er 1.717 0.000 0.000
Er 1.717 -2.682 7.755
CELL_PARAMETERS angstrom
3.435 0.000 0.000
0.000 9.030 0.000
-1.717 -4.515 11.141
! Formation energy from the elements   0.2838 eV/atom
! Total DFT energy (no corrections)   -4.625 eV per atom
! Offset from the most stable computed form   173 meV per atom

***

Record 7
! Tb6Er5Sc2, optimized geometry, DFT GGA-PBE; values from VASP
&SYSTEM
  ibrav = 0, nat = 26, ntyp = 3
/
ATOMIC_SPECIES
Tb 158.93 Tb.upf
Er 167.26 Er.upf
Sc 44.96 Sc.upf
ATOMIC_POSITIONS angstrom
Tb 6.332 2.263 14.890
Tb 1.716 -2.475 6.496
Tb 4.101 8.414 9.282
Tb 4.153 1.804 9.512
Tb 5.437 5.076 10.290
Tb 0.770 0.710 1.464
Tb 2.313 -0.575 11.725
Tb 8.820 6.170 18.339
Tb 7.873 9.355 13.306
Tb 3.258 4.616 4.913
Tb 6.431 7.757 15.948
Tb -0.017 0.082 5.059
Er -0.308 -4.690 8.093
Er 3.865 3.250 12.770
Er 1.325 0.032 8.637
Er 2.549 4.589 8.237
Er 2.698 7.603 6.228
Er 6.722 12.529 12.914
Er 5.089 7.807 12.370
Er -1.079 -3.203 4.878
Er 5.949 4.707 17.106
Er 0.465 3.133 3.901
Sc 6.734 5.138 13.662
Sc 2.855 1.742 6.140
Sc 2.615 -3.187 9.432
Sc 6.975 10.067 10.370
CELL_PARAMETERS angstrom
-3.176 0.959 1.205
1.018 -7.366 8.551
8.571 14.246 11.252
! Formation energy from the elements   0.1201 eV/atom
! Total DFT energy (no corrections)   -4.746 eV per atom

***

Record 8
! Tb7ErSc3, optimized geometry, DFT GGA-PBE; values from VASP
&SYSTEM
  ibrav = 0, nat = 22, ntyp = 3
/
ATOMIC_SPECIES
Er 167.26 Er.upf
Tb 158.93 Tb.upf
Sc 44.96 Sc.upf
ATOMIC_POSITIONS angstrom
Er 5.032 -6.865 1.999
Er 0.559 -3.204 -0.912
Tb 2.468 -6.115 4.112
Tb 6.457 -4.318 0.245
Tb 12.290 -6.409 -1.412
Tb 3.123 -3.946 -3.023
Tb -2.226 -7.320 5.411
Tb 2.238 -10.939 8.333
Tb -0.867 -5.745 0.846
Tb 3.606 -9.411 3.754
Tb 7.266 -8.668 3.466
Tb 6.940 -9.783 7.022
Tb 7.596 -7.614 -0.113
Tb 7.826 -2.790 -4.334
Tb 10.931 -7.984 3.153
Tb 2.797 -5.061 0.533
Sc 4.472 -3.660 2.912
Sc 0.000 0.000 0.000
Sc 3.929 -8.463 6.874
Sc 6.134 -5.266 -2.876
Sc 10.042 -5.709 0.949
Sc 0.022 -8.020 3.050
CELL_PARAMETERS angstrom
-5.577 -5.970 5.037
6.696 -0.439 -6.862
8.945 -7.321 5.823
! Formation energy from the elements   0.1492 eV/atom
! Total DFT energy (no corrections)   -4.939 eV per atom
! Offset from the most stable computed form   0 meV per atom

***

Record 9
! TbEr2ScTe6, optimized geometry, DFT GGA-PBE; values from VASP
&SYSTEM
  ibrav = 0, nat = 10, ntyp = 4
/
ATOMIC_SPECIES
Te 127.60 Te.upf
Er 167.26 Er.upf
Sc 44.96 Sc.upf
Tb 158.93 Tb.upf
ATOMIC_POSITIONS angstrom
Te 8.730 2.339 5.252
Te 5.230 4.380 5.252
Te 6.225 6.639 1.718
Te 6.277 2.072 1.718
Te 8.748 6.391 5.252
Te 10.206 4.400 1.718
Er 7.569 4.370 3.259
Er 3.784 2.185 6.757
Sc 3.785 2.185 0.150
Tb 11.354 6.555 3.651
CELL_PARAMETERS angstrom
7.570 0.000 0.000
3.784 6.556 0.000
3.784 2.185 6.924
! Formation energy without anion corrections   -1.31 eV per atom
! Total DFT energy (no corrections)   -5.199 eV per atom

***

Record 10
! Tb2ErSc3Te6, optimized geometry, DFT GGA-PBE; values from VASP
&SYSTEM
  ibrav = 0, nat = 12, ntyp = 4
/
ATOMIC_SPECIES
Te 127.60 Te.upf
Sc 44.96 Sc.upf
Tb 158.93 Tb.upf
Er 167.26 Er.upf
ATOMIC_POSITIONS angstrom
Te 0.000 6.287 6.225
Te 2.125 -0.268 8.968
Te 0.000 1.823 6.178
Te 2.125 4.255 3.081
Te 2.125 -0.210 3.034
Te 0.000 6.346 0.291
Sc 0.000 6.278 3.281
Sc 2.125 4.273 0.150
Sc 2.125 -0.200 5.979
Tb 0.000 2.031 3.119
Tb 2.125 4.047 6.140
Er 2.125 0.000 0.000
CELL_PARAMETERS angstrom
4.250 0.000 0.000
0.000 8.546 0.301
-2.125 -2.468 8.958
! Formation energy without anion corrections   -1.19 eV per atom
! Total DFT energy (no corrections)   -5.493 eV per atom

***

Record 11
! TbEr2Sc3Te6, optimized geometry, DFT GGA-PBE; values from VASP
&SYSTEM
  ibrav = 0, nat = 12, ntyp = 4
/
ATOMIC_SPECIES
Sc 44.96 Sc.upf
Te 127.60 Te.upf
Er 167.26 Er.upf
Tb 158.93 Tb.upf
ATOMIC_POSITIONS angstrom
Sc 2.122 -0.232 6.055
Sc 2.122 4.262 0.152
Sc 0.000 6.299 3.189
Te 2.122 4.214 3.131
Te 0.000 1.853 6.113
Te 2.122 -0.230 8.976
Te 2.122 -0.178 3.088
Te 0.000 6.296 0.268
Te 0.000 6.245 6.156
Er 0.000 2.007 3.048
Er 2.122 4.059 6.196
Tb 2.122 0.000 0.000
CELL_PARAMETERS angstrom
4.243 0.000 0.000
0.000 8.524 0.304
-2.122 -2.458 8.940
! Formation energy without anion corrections   -1.17 eV per atom
! Total DFT energy (no corrections)   -5.472 eV per atom

***

Record 12
! Tb2ErScTe4, optimized geometry, DFT GGA-PBE; values from VASP
&SYSTEM
  ibrav = 0, nat = 8, ntyp = 4
/
ATOMIC_SPECIES
Tb 158.93 Tb.upf
Te 127.60 Te.upf
Er 167.26 Er.upf
Sc 44.96 Sc.upf
ATOMIC_POSITIONS angstrom
Tb 2.135 1.302 3.500
Tb 0.000 2.605 7.001
Te 0.000 7.520 5.173
Te 2.135 3.902 5.217
Te 2.135 6.217 1.593
Te 4.270 2.598 1.637
Er 0.000 5.059 3.405
Sc 2.135 3.757 -0.095
CELL_PARAMETERS angstrom
4.270 0.000 0.000
0.000 7.514 -0.191
0.000 2.605 7.001
! Formation energy without anion corrections   -1.23 eV per atom
! Total DFT energy (no corrections)   -5.318 eV per atom

***

Record 13
! Tb3Er2ScTe6, optimized geometry, DFT GGA-PBE; values from VASP
&SYSTEM
  ibrav = 0, nat = 12, ntyp = 4
/
ATOMIC_SPECIES
Te 127.60 Te.upf
Er 167.26 Er.upf
Sc 44.96 Sc.upf
Tb 158.93 Tb.upf
ATOMIC_POSITIONS angstrom
Te 3.276 2.672 5.073
Te -2.734 -0.879 2.253
Te -4.172 2.855 4.036
Te -0.707 0.893 5.593
Te -2.145 4.627 7.375
Te -8.155 1.076 4.555
Er -1.562 1.857 2.834
Er -3.318 1.891 6.794
Sc -0.198 -1.841 1.097
Tb 0.543 3.644 6.211
Tb -5.422 0.104 3.417
Tb 1.964 -0.087 4.430
CELL_PARAMETERS angstrom
-0.396 -3.682 2.195
4.324 3.508 6.665
-8.806 3.922 0.768
! Formation energy without anion corrections   -1.24 eV per atom
! Total DFT energy (no corrections)   -5.257 eV per atom

***

Record 14
! Tb2Er3ScTe6, optimized geometry, DFT GGA-PBE; values from VASP
&SYSTEM
  ibrav = 0, nat = 12, ntyp = 4
/
ATOMIC_SPECIES
Er 167.26 Er.upf
Tb 158.93 Tb.upf
Te 127.60 Te.upf
Sc 44.96 Sc.upf
ATOMIC_POSITIONS angstrom
Er 2.149 -0.194 5.983
Er 2.149 4.326 0.168
Er 0.000 6.380 3.423
Tb 2.149 4.132 6.237
Tb 0.000 2.054 3.168
Te 0.000 6.548 0.309
Te 2.149 -0.361 9.096
Te 0.000 6.318 6.466
Te 0.000 1.934 6.227
Te 2.149 -0.132 2.939
Te 2.149 4.252 3.179
Sc 2.149 0.000 0.000
CELL_PARAMETERS angstrom
4.297 0.000 0.000
0.000 8.653 0.335
-2.149 -2.466 9.070
! Formation energy without anion corrections   -1.22 eV per atom
! Total DFT energy (no corrections)   -5.234 eV per atom

***

Record 15
! Tb2ErScTe6, optimized geometry, DFT GGA-PBE; values from VASP
&SYSTEM
  ibrav = 0, nat = 10, ntyp = 4
/
ATOMIC_SPECIES
Te 127.60 Te.upf
Tb 158.93 Tb.upf
Er 167.26 Er.upf
Sc 44.96 Sc.upf
ATOMIC_POSITIONS angstrom
Te 10.303 4.410 1.743
Te 5.248 4.467 5.258
Te 6.230 6.719 1.743
Te 8.845 6.386 5.259
Te 8.708 2.312 5.258
Te 6.268 2.036 1.743
Tb 3.800 2.194 6.716
Tb 7.600 4.388 3.226
Er 11.401 6.582 3.633
Sc 3.801 2.194 0.142
CELL_PARAMETERS angstrom
7.601 0.000 0.000
3.800 6.583 0.000
3.800 2.194 6.923
! Formation energy without anion corrections   -1.31 eV per atom
! Total DFT energy (no corrections)   -5.211 eV per atom

***

Record 16
! TbEr2ScTe4, optimized geometry, DFT GGA-PBE; values from VASP
&SYSTEM
  ibrav = 0, nat = 8, ntyp = 4
/
ATOMIC_SPECIES
Tb 158.93 Tb.upf
Er 167.26 Er.upf
Te 127.60 Te.upf
Sc 44.96 Sc.upf
ATOMIC_POSITIONS angstrom
Tb 3.437 -1.695 -4.723
Er 6.762 -2.490 -2.051
Er 2.713 -3.254 -0.791
Te 5.214 -2.560 -7.060
Te 1.059 -3.290 -5.806
Te 0.322 -4.849 -1.916
Te 4.477 -4.119 -3.170
Sc -0.613 -2.460 -3.462
CELL_PARAMETERS angstrom
-1.337 -4.019 0.469
0.111 -0.901 -7.394
6.762 -2.490 -2.051
! Formation energy without anion corrections   -1.20 eV per atom
! Total DFT energy (no corrections)   -5.282 eV per atom

***

Record 17
! TbErThSc3, optimized geometry, DFT GGA-PBE; values from VASP
&SYSTEM
  ibrav = 0, nat = 12, ntyp = 4
/
ATOMIC_SPECIES
Th 232.04 Th.upf
Tb 158.93 Tb.upf
Sc 44.96 Sc.upf
Er 167.26 Er.upf
ATOMIC_POSITIONS angstrom
Th 0.729 -4.878 -3.693
Th -1.657 -7.411 4.513
Tb -0.394 -9.796 -0.592
Tb -0.534 -2.494 1.412
Sc -0.615 -5.921 7.328
Sc -1.555 -4.097 -1.380
Sc -1.595 -5.784 1.539
Sc -0.314 -6.369 -6.508
Sc 0.626 -8.193 2.200
Sc 0.667 -6.506 -0.719
Er -0.352 -8.098 -3.542
Er -0.576 -4.192 4.362
CELL_PARAMETERS angstrom
-3.322 -0.742 -0.475
2.502 -6.449 -7.425
-0.108 -5.098 8.721
! Formation energy from the elements   0.0487 eV/atom
! Total DFT energy (no corrections)   -5.886 eV per atom

***

Record 18
! Tb3Er6Th2Sc, optimized geometry, DFT GGA-PBE; values from VASP
&SYSTEM
  ibrav = 0, nat = 12, ntyp = 4
/
ATOMIC_SPECIES
Th 232.04 Th.upf
Tb 158.93 Tb.upf
Er 167.26 Er.upf
Sc 44.96 Sc.upf
ATOMIC_POSITIONS angstrom
Th 3.038 1.755 -0.003
Th 0.002 3.508 -0.003
Tb 4.056 0.001 5.735
Tb 1.015 1.757 5.735
Tb -2.026 3.513 5.735
Er 0.006 3.514 8.646
Er -1.011 1.753 2.825
Er 0.004 0.007 8.645
Er 2.026 3.508 2.825
Er 3.041 1.761 8.646
Er 2.024 0.000 2.825
Sc 0.000 0.000 0.000
CELL_PARAMETERS angstrom
6.077 0.000 -0.003
-3.037 5.264 -0.003
-1.010 -1.749 11.477
! Formation energy from the elements   0.0231 eV/atom
! Total DFT energy (no corrections)   -5.180 eV per atom

***

Record 19
! Tb2ErThSc4, optimized geometry, DFT GGA-PBE; values from VASP
&SYSTEM
  ibrav = 0, nat = 8, ntyp = 4
/
ATOMIC_SPECIES
Sc 44.96 Sc.upf
Tb 158.93 Tb.upf
Th 232.04 Th.upf
Er 167.26 Er.upf
ATOMIC_POSITIONS angstrom
Sc 2.470 4.363 3.271
Sc 0.000 5.853 8.215
Sc 4.939 1.945 2.764
Sc 2.470 3.435 7.709
Tb 0.000 2.959 9.964
Tb 2.470 1.480 4.982
Th 0.000 3.899 5.490
Er 2.470 2.419 0.508
CELL_PARAMETERS angstrom
4.939 0.000 0.000
0.000 4.839 1.015
0.000 2.959 9.964
! Formation energy from the elements   0.0425 eV/atom
! Total DFT energy (no corrections)   -5.779 eV per atom

***

Record 20
! TbErThSc, optimized geometry, DFT GGA-PBE; values from VASP
&SYSTEM
  ibrav = 0, nat = 4, ntyp = 4
/
ATOMIC_SPECIES
Sc 44.96 Sc.upf
Tb 158.93 Tb.upf
Er 167.26 Er.upf
Th 232.04 Th.upf
ATOMIC_POSITIONS angstrom
Sc -1.430 2.831 1.265
Tb 2.095 0.795 3.994
Er 0.332 -0.227 6.883
Th -1.430 0.790 9.681
CELL_PARAMETERS angstrom
3.526 0.000 0.000
-1.763 3.055 0.001
-1.764 -1.022 11.078
! Formation energy from the elements   0.0259 eV/atom
! Total DFT energy (no corrections)   -5.710 eV per atom
! Offset from the most stable computed form   0 meV per atom